This record from Alexandria describes a relaxed Ba3LaGa2O8 crystal. The functional is PBE-GGA.

Computed properties:
Its density of states at the Fermi level is 13.71 states/eV/cell. The calculation puts the energy relative to the elements, uncorrected at -2.388 eV per atom. As for the spin magnetization: 1.2 μB per cell. The calculation puts the energy at -6.417 eV per atom.

Cell lengths 6.1427, 6.1427, 7.7238 Å; angles 90.00, 90.00, 120.00 degrees
Space group P-3m1 (No. 164)
Inequivalent atoms, fractional coordinates:
1 Ba 0.0000 0.0000 0.0000 (multiplicity 1)
2 Ba 0.3333 0.6667 0.6569 (multiplicity 2)
3 La 0.0000 0.0000 0.5000 (multiplicity 1)
4 Ga 0.3333 0.6667 0.2117 (multiplicity 2)
5 O 0.1725 0.3450 0.3092 (multiplicity 6)
6 O 0.3333 0.6667 0.9763 (multiplicity 2)

This record from Alexandria describes a relaxed SmHo4Zn2 crystal. The functional is PBE-GGA.

Computed properties:
Its density of states at the Fermi level is 32.82 states/eV/cell. The value obtained for the energy relative to the elements is 3.10 kcal/mol of atoms. As for the spin magnetization: 0.0 μB per cell. The calculation puts the energy at -3.520 eV per atom.

Cell lengths 4.9106, 4.9106, 29.8555 Å; angles 90.00, 90.00, 120.00 degrees
Space group R-3m (No. 166, hexagonal axes)
Inequivalent atoms, fractional coordinates:
1 Sm 0.0000 0.0000 0.0000 (multiplicity 3)
2 Ho 0.0000 0.0000 0.2012 (multiplicity 6)
3 Ho 0.0000 0.0000 0.3994 (multiplicity 6)
4 Zn 0.0000 0.0000 0.1007 (multiplicity 6)

This record from Alexandria describes a relaxed LaSiAg2 crystal. The functional is PBE-GGA.

Computed properties:
Its density of states at the Fermi level is 2.55 states/eV/cell. The calculation puts the energy relative to the elements, uncorrected at -0.152 eV per atom. As for the spin magnetization: 0.0 μB per cell. The calculation puts the energy at -4.166 eV per atom.

Cell lengths 3.654, 4.725, 5.435 Å; angles 90.00, 90.00, 90.00 degrees
Space group Pmmm (No. 47)
Inequivalent atoms, fractional coordinates:
1 La 0.000 0.000 0.000 (multiplicity 1)
2 Si 0.500 0.000 0.500 (multiplicity 1)
3 Ag 0.500 0.500 0.253 (multiplicity 2)

This record from Alexandria describes a relaxed CsCdInAu2 crystal. The functional is PBE-GGA.

Computed properties:
Its density of states at the Fermi level is 1.39 states/eV/cell. As for the energy above the most stable polymorph in this dataset: 0.1516 eV per atom. The value obtained for the energy relative to the elements is -1.64 kcal/mol of atoms. As for the spin magnetization: 0.0 μB per cell. The calculation puts the energy at -2.284 eV per atom.

Cell lengths 5.457, 5.457, 5.735 Å; angles 90.00, 90.00, 90.00 degrees
Space group P4/mmm (No. 123)
Inequivalent atoms, fractional coordinates:
1 Cs 0.000 0.000 0.000 (multiplicity 1)
2 Cd 0.500 0.500 0.000 (multiplicity 1)
3 In 0.500 0.500 0.500 (multiplicity 1)
4 Au 0.000 0.500 0.500 (multiplicity 2)

This record from Alexandria describes a relaxed Cr2RhCl crystal. The functional is PBE-GGA.

Computed properties:
Its density of states at the Fermi level is 6.37 states/eV/cell. The calculation puts the energy relative to the elements, uncorrected at 0.728 eV per atom. As for the energy above the most stable polymorph in this dataset: 0.6271 eV per atom. As for the spin magnetization: 5.3 μB per cell. The calculation puts the energy at -6.383 eV per atom.

Cell lengths 2.856, 4.298, 4.746 Å; angles 90.00, 90.00, 90.00 degrees
Space group Pmmm (No. 47)
Inequivalent atoms, fractional coordinates:
1 Cr 0.000 0.000 0.000 (multiplicity 1)
2 Cr 0.500 0.000 0.500 (multiplicity 1)
3 Rh 0.000 0.500 0.500 (multiplicity 1)
4 Cl 0.500 0.500 0.000 (multiplicity 1)

This record from Alexandria describes a relaxed RbSi8 crystal. The functional is PBE-GGA.

Computed properties:
Its density of states at the Fermi level is 7.55 states/eV/cell. The calculation puts the energy relative to the elements, uncorrected at 0.504 eV per atom. As for the spin magnetization: 0.0 μB per cell. The calculation puts the energy at -4.424 eV per atom.

Cell lengths 8.960, 8.960, 4.791 Å; angles 90.00, 90.00, 90.00 degrees
Space group I4/mmm (No. 139)
Inequivalent atoms, fractional coordinates:
1 Rb 0.000 0.000 0.000 (multiplicity 2)
2 Si 0.000 0.370 0.000 (multiplicity 8)
3 Si 0.240 0.240 0.500 (multiplicity 8)

This record from Alexandria describes a relaxed Ac2TbThSe4 crystal. The functional is PBE-GGA.

Computed properties:
Its density of states at the Fermi level is 3.98 states/eV/cell. The calculation puts the energy relative to the elements, uncorrected at -1.739 eV per atom. As for the spin magnetization: 0.0 μB per cell. The calculation puts the energy at -6.015 eV per atom.

Cell lengths 7.431, 4.253, 7.548 Å; angles 90.00, 108.84, 90.00 degrees
Space group P2/m (No. 10)
Inequivalent atoms, fractional coordinates:
1 Ac 0.000 0.000 0.000 (multiplicity 1)
2 Ac 0.500 0.500 0.000 (multiplicity 1)
3 Tb 0.000 0.500 0.500 (multiplicity 1)
4 Th 0.500 0.000 0.500 (multiplicity 1)
5 Se 0.237 0.000 0.726 (multiplicity 2)
6 Se 0.251 0.500 0.270 (multiplicity 2)

This record from Alexandria describes a relaxed ZrTc2Sb crystal. The functional is PBE-GGA.

Computed properties:
Its density of states at the Fermi level is 7.03 states/eV/cell. The calculation puts the energy relative to the elements, uncorrected at -0.006 eV per atom. As for the spin magnetization: 0.0 μB per cell. The calculation puts the energy at -8.357 eV per atom.

Cell lengths 9.222, 3.316, 4.985 Å; angles 90.00, 109.10, 90.00 degrees
Space group C2/m (No. 12)
Inequivalent atoms, fractional coordinates:
1 Zr 0.000 0.000 0.000 (multiplicity 2)
2 Tc 0.243 0.000 0.729 (multiplicity 4)
3 Sb 0.000 0.500 0.500 (multiplicity 2)

This record from Alexandria describes a relaxed CsRb5Hg2O crystal. The functional is PBE-GGA.

Computed properties:
Its density of states at the Fermi level is 11.97 states/eV/cell. The calculation puts the energy relative to the elements, uncorrected at -0.413 eV per atom. As for the spin magnetization: 0.0 μB per cell. The calculation puts the energy at -1.663 eV per atom.

Cell lengths 8.546, 8.546, 12.319 Å; angles 90.00, 90.00, 90.00 degrees
Space group I4mm (No. 107)
Inequivalent atoms, fractional coordinates:
1 Cs 0.000 0.000 0.000 (multiplicity 2)
2 Rb 0.000 0.000 0.457 (multiplicity 2)
3 Rb 0.229 0.229 0.232 (multiplicity 8)
4 Hg 0.000 0.500 0.479 (multiplicity 4)
5 O 0.000 0.000 0.229 (multiplicity 2)

This record from Alexandria describes a relaxed TbGeRu crystal. The functional is PBE-GGA.

Computed properties:
Its density of states at the Fermi level is 5.17 states/eV/cell. The value obtained for the energy relative to the elements is -17.17 kcal/mol of atoms. As for the spin magnetization: 0.0 μB per cell. The calculation puts the energy at -6.919 eV per atom.

Cell lengths 4.231, 4.231, 13.573 Å; angles 90.00, 90.00, 90.00 degrees
Space group I4/mmm (No. 139)
Inequivalent atoms, fractional coordinates:
1 Tb 0.000 0.000 0.147 (multiplicity 4)
2 Ge 0.000 0.000 0.388 (multiplicity 4)
3 Ru 0.000 0.500 0.000 (multiplicity 4)

This record from Alexandria describes a relaxed Er6Al2Zn crystal. The functional is PBE-GGA.

Computed properties:
Its density of states at the Fermi level is 24.35 states/eV/cell. The value obtained for the energy relative to the elements is -0.09 kcal/mol of atoms. As for the spin magnetization: 0.0 μB per cell. The calculation puts the energy at -4.019 eV per atom.

Cell lengths 4.952, 7.060, 14.886 Å; angles 90.00, 90.00, 90.00 degrees
Space group Immm (No. 71)
Inequivalent atoms, fractional coordinates:
1 Er 0.000 0.244 0.000 (multiplicity 4)
2 Er 0.000 0.253 0.335 (multiplicity 8)
3 Al 0.000 0.500 0.166 (multiplicity 4)
4 Zn 0.000 0.500 0.500 (multiplicity 2)

> Which of these has the highest spin magnetization?

Cr2RhCl